#1
This record from Alexandria describes crystalline Tl2CuPt at its relaxed geometry. The functional is PBE-GGA.

Space group: No. 216

abc: 4.870 4.870 4.870
angles: 60.00 60.00 60.00
Atoms (fractional coordinates):
Cu: 0.500 0.500 0.500
Pt: 0.750 0.750 0.750
Tl: 0.000 0.000 0.000
Tl: 0.250 0.250 0.250

---

#2
This record from Alexandria describes crystalline Tl2CuPt at its relaxed geometry. The functional is PBE-GGA.

Space group: No. 119

abc: 5.336 5.336 5.336
angles: 133.27 133.27 68.23
Atoms (fractional coordinates):
Cu: 0.500 0.500 0.000
Pt: 0.750 0.250 0.500
Tl: 0.000 0.000 0.000
Tl: 0.250 0.750 0.500

---

#2 wins, 5.6 kJ/mol of atoms ahead of the next structure.